Record 1
PmAlH | GGA-PBE | optimized geometry

The excess energy over the best structure of this formula in the dataset comes out at 477 meV/atom. The value obtained for the energy is -3.975 eV per atom. For the density of states at the Fermi level, the calculation gives 2.73 states/eV/f.u.

The space group is I4mm (No. 107) and the conventional cell measures 3.1921, 3.1921 and 11.3203 Å, with angles of 90.00, 90.00 and 90.00 degrees. Symmetry generates all atoms from Pm at (0.0000, 0.0000, 0.0000), Al at (0.0000, 0.0000, 0.7160) and H at (0.0000, 0.0000, 0.4574).

Record 2
PuNi2Pt | GGA-PBE | optimized geometry

The value obtained for the energy is -8.259 eV per atom. For the density of states at the Fermi level, the calculation gives 10.08 states/eV/f.u.

The space group is Fm-3m (No. 225) and the conventional cell measures 6.2971, 6.2971 and 6.2971 Å, with angles of 90.00, 90.00 and 90.00 degrees. Symmetry generates all atoms from Pu at (0.0000, 0.0000, 0.0000), Ni at (0.2500, 0.2500, 0.2500) and Pt at (0.0000, 0.0000, 0.5000).

Record 3
NaTl2BO | GGA-PBE | optimized geometry

The value obtained for the energy is -3.111 eV per atom. Its uncorrected formation energy is 0.427 eV/atom. For the density of states at the Fermi level, the calculation gives 2.76 states/eV/f.u.

The space group is P4/mmm (No. 123) and the conventional cell measures 5.0064, 5.0064 and 4.2341 Å, with angles of 90.00, 90.00 and 90.00 degrees. Symmetry generates all atoms from Na at (0.0000, 0.0000, 0.0000), Tl at (0.0000, 0.5000, 0.5000), B at (0.5000, 0.5000, 0.0000) and O at (0.0000, 0.0000, 0.5000).